This record from the Alexandria database describes a PBEsol-optimized structure of Tc2AsCl. The functional is meta-GGA SCAN.

Summary:
Raw formation energy   0.2519 eV/atom
Total moment   0.000 μB/f.u.
Space group   R-3m (166)
Raw total energy   -24.320 eV/atom

abc: 2.935 2.935 7.888
angles: 79.28 79.28 60.00
Element x y z (fractional)
As: 0.500 0.500 0.500
Tc: 0.248 0.248 0.256
Tc: 0.752 0.752 0.744
Cl: 0.000 0.000 0.000